1.
The following is a PBE calculation of an optimized crystal structure of Ac2PmNd2Sm, from Alexandria.

Cell lengths 7.393, 5.975, 10.267 Å; angles 90.00, 90.00, 90.00 degrees
Space group Pmma (No. 51)
Asymmetric unit:
Ac 0.000 0.000 0.000 [2 per cell]
Ac 0.250 0.500 0.173 [2 per cell]
Pm 0.000 0.500 0.500 [2 per cell]
Nd 0.250 0.000 0.344 [2 per cell]
Nd 0.250 0.500 0.825 [2 per cell]
Sm 0.250 0.000 0.665 [2 per cell]

Summary:
- Final energy: -4.465 eV/atom


2.
The following is a PBE calculation of an optimized crystal structure of AcPm3NdSm, from Alexandria.

Cell lengths 8.296, 5.248, 10.478 Å; angles 90.00, 108.56, 90.00 degrees
Space group P2_1/m (No. 11)
Asymmetric unit:
Ac 0.167 0.250 0.292 [2 per cell]
Pm 0.170 0.750 0.040 [2 per cell]
Pm 0.170 0.750 0.546 [2 per cell]
Pm 0.171 0.250 0.793 [2 per cell]
Nd 0.496 0.750 0.876 [2 per cell]
Sm 0.498 0.250 0.627 [2 per cell]

Summary:
- Final energy: -4.612 eV/atom


3.
The following is a PBE calculation of an optimized crystal structure of AcPm4NdSm2, from Alexandria.

Cell lengths 13.987, 13.525, 7.073 Å; angles 90.00, 120.18, 90.00 degrees
Space group C2/c (No. 15)
Asymmetric unit:
Ac 0.250 0.250 0.000 [4 per cell]
Pm 0.000 0.249 0.014 [8 per cell]
Pm 0.249 0.009 0.440 [8 per cell]
Nd 0.000 0.500 0.000 [4 per cell]
Sm 0.000 0.000 0.000 [4 per cell]
Sm 0.250 0.250 0.500 [4 per cell]

Summary:
- Final energy: -4.280 eV/atom